First-principles (GGA+U) data for a geometry-optimized Mo3PbO structure, as listed in the Alexandria database.

```
Mo3PbO
1.0
5.5750 0.0000 0.0000
0.0000 5.5750 0.0000
0.0000 0.0000 5.5750
Mo O Pb
3 1 1
direct
0.5000 0.0000 0.0000
0.0000 0.5000 0.0000
0.0000 0.0000 0.5000
0.5000 0.5000 0.5000
0.0000 0.0000 0.0000
```

=====

First-principles (GGA+U) data for a geometry-optimized Mo2PbO structure, as listed in the Alexandria database.

```
Mo2PbO
1.0
5.8778 0.0000 0.0000
0.0000 5.8778 0.0000
2.9389 2.9389 5.8441
Mo Pb O
4 2 2
direct
0.4578 0.1250 0.2500
0.8750 0.7078 0.7500
0.3750 0.5422 0.7500
0.2922 0.6250 0.2500
0.0000 0.0000 0.0000
0.7500 0.2500 0.5000
0.2500 0.7500 0.5000
0.5000 0.5000 0.0000
```

=====

First-principles (GGA+U) data for a geometry-optimized MoPb3O6 structure, as listed in the Alexandria database.

```
MoPb3O6
1.0
6.1553 0.0000 0.0000
0.0000 8.1093 -0.1968
0.0000 -2.0014 7.8609
Mo O Pb
2 12 6
direct
0.5116 0.7999 0.2001
0.0116 0.2001 0.7999
0.2305 0.3526 0.3379
0.6234 0.8867 0.4122
0.2305 0.6621 0.6474
0.0820 0.0645 0.9355
0.1234 0.4122 0.8867
0.6234 0.5878 0.1133
0.7241 0.2147 0.7853
0.2241 0.7853 0.2147
0.7305 0.3379 0.3526
0.5820 0.9355 0.0645
0.7305 0.6474 0.6621
0.1234 0.1133 0.5878
0.9922 0.6996 0.8746
0.4922 0.8746 0.6996
0.4754 0.4064 0.5936
0.4922 0.3004 0.1254
0.9922 0.1254 0.3004
0.9754 0.5936 0.4064
```

=====

First-principles (GGA+U) data for a geometry-optimized Mo2PbO7 structure, as listed in the Alexandria database.

```
Mo2PbO7
1.0
3.8459 0.0000 0.0000
0.0000 3.9672 -1.0681
0.0000 0.7120 10.1275
O Mo Pb
7 2 1
direct
0.0000 0.6299 0.6923
0.5000 0.5000 0.5000
0.5000 0.3045 0.1218
0.5000 0.6955 0.8782
0.5000 0.1089 0.6890
0.0000 0.3701 0.3077
0.5000 0.8911 0.3110
0.5000 0.6826 0.6895
0.5000 0.3174 0.3105
0.0000 0.0000 0.0000
```

=====

Number 1: raw total energy -3.768 eV per atom, ρ 4.90 g/cm³. Number 2: raw total energy -5.435 eV per atom, ρ 6.83 g/cm³. Number 3: raw total energy -6.175 eV per atom, ρ 6.93 g/cm³. Number 4: raw total energy -6.677 eV per atom, ρ 5.39 g/cm³.